VASP calculation (PBE) on a relaxed La2TmIn2 crystal.

- Energy of formation from the pure elements: -0.18 eV per atom
- Excess energy over the best structure of this formula in the dataset: 206 meV per atom

a = 9.3077 Å, b = 9.3077 Å, c = 3.6106 Å
α = 90.00°, β = 90.00°, γ = 90.00°
Closest atoms and distances in Å follow each position.
Fractional positions:
La 0.1178 0.3822 0.0000  1 La 3.10, 6 In 3.23-3.35
La 0.3822 0.8822 0.0000  1 La 3.10, 6 In 3.23-3.35
La 0.6178 0.1178 0.0000  1 La 3.10, 6 In 3.23-3.35
La 0.8822 0.6178 0.0000  1 La 3.10, 6 In 3.23-3.35
Tm 0.0000 0.0000 0.0000  2 Tm 3.61, 4 La 3.72, 8 In 3.87
Tm 0.5000 0.5000 0.0000  2 Tm 3.61, 4 La 3.72, 8 In 3.87
In 0.1788 0.6788 0.5000  6 La 3.23-3.35, 2 In 3.61
In 0.3212 0.1788 0.5000  6 La 3.23-3.35, 2 In 3.61
In 0.6788 0.8212 0.5000  6 La 3.23-3.35, 2 In 3.61
In 0.8212 0.3212 0.5000  6 La 3.23-3.35, 2 In 3.61

=====

VASP calculation (PBE) on a relaxed Rb5As3Pt3 crystal.

- Energy of formation from the pure elements: -0.34 eV per atom

a = 10.7049 Å, b = 10.7049 Å, c = 4.5920 Å
α = 90.00°, β = 90.00°, γ = 120.00°
Closest atoms and distances in Å follow each position.
Fractional positions:
Rb 0.0000 0.2710 0.0000  3 As 3.50-3.91
Rb 0.2710 0.0000 0.0000  3 As 3.50-3.91
Rb 0.3333 0.6667 0.0000  3 As 3.42
Rb 0.6667 0.3333 0.0000  3 As 3.42
Rb 0.7290 0.7290 0.0000  3 As 3.50-3.91
As 0.0000 0.6364 0.0000  2 Pt 2.30
As 0.3636 0.3636 0.0000  2 Pt 2.30
As 0.6364 0.0000 0.0000  2 Pt 2.30
Pt 0.0000 0.6385 0.5000  2 As 2.30
Pt 0.3615 0.3615 0.5000  2 As 2.30
Pt 0.6385 0.0000 0.5000  2 As 2.30

=====

VASP calculation (PBE) on a relaxed KPr2Br2F5 crystal.

- ΔE_f (raw): -31.20 eV/f.u.

a = 10.4560 Å, b = 10.4560 Å, c = 3.6576 Å
α = 90.00°, β = 90.00°, γ = 90.00°
Closest atoms and distances in Å follow each position.
Fractional positions:
K 0.0000 0.0000 0.0000  8 F 3.15
K 0.5000 0.5000 0.0000  8 F 3.15
Pr 0.1284 0.3716 0.0000  6 F 2.39-2.64
Pr 0.3716 0.8716 0.0000  6 F 2.39-2.64
Pr 0.6284 0.1284 0.0000  6 F 2.39-2.64
Pr 0.8716 0.6284 0.0000  6 F 2.39-2.64
Br 0.1673 0.6673 0.0000  3 Pr 3.02-3.12, 10 F 3.08-3.32
Br 0.3327 0.1673 0.0000  3 Pr 3.02-3.12, 10 F 3.08-3.32
Br 0.6673 0.8327 0.0000  3 Pr 3.02-3.12, 10 F 3.08-3.32
Br 0.8327 0.3327 0.0000  3 Pr 3.02-3.12, 10 F 3.08-3.32
F 0.0000 0.5000 0.5000  4 Pr 2.64, 4 F 2.91
F 0.0784 0.2330 0.5000  2 Pr 2.39
F 0.2330 0.9216 0.5000  2 Pr 2.39
F 0.2670 0.4216 0.5000  2 Pr 2.39
F 0.4216 0.7330 0.5000  2 Pr 2.39
F 0.5000 0.0000 0.5000  4 Pr 2.64, 4 F 2.91
F 0.5784 0.2670 0.5000  2 Pr 2.39
F 0.7330 0.5784 0.5000  2 Pr 2.39
F 0.7670 0.0784 0.5000  2 Pr 2.39
F 0.9216 0.7670 0.5000  2 Pr 2.39

=====

VASP calculation (PBE) on a relaxed Cs2CaTe2 crystal.

- ΔE_f (raw): -6.35 eV/f.u.
- Excess energy over the best structure of this formula in the dataset: 0 meV per atom

a = 9.6515 Å, b = 9.6515 Å, c = 9.6515 Å
α = 127.47°, β = 73.62°, γ = 132.35°
Closest atoms and distances in Å follow each position.
Fractional positions:
Cs 0.1472 0.1536 0.3009  5 Te 3.86-4.14, 2 Ca 4.21
Cs 0.3528 0.6536 0.0064  5 Te 3.86-4.14, 2 Ca 4.21
Cs 0.6472 0.3464 0.9936  5 Te 3.86-4.14, 2 Ca 4.21
Cs 0.8528 0.8464 0.6991  5 Te 3.86-4.14, 2 Ca 4.21
Ca 0.2500 0.7500 0.5000  4 Te 3.07
Ca 0.7500 0.2500 0.5000  4 Te 3.07
Te 0.1046 0.7031 0.8077  2 Ca 3.07
Te 0.3954 0.2031 0.5985  2 Ca 3.07
Te 0.6046 0.7969 0.4015  2 Ca 3.07
Te 0.8954 0.2969 0.1923  2 Ca 3.07

=====

VASP calculation (PBE) on a relaxed K2Zn2S3 crystal.

- ΔE_f (raw): -6.84 eV/f.u.
- Excess energy over the best structure of this formula in the dataset: 0 meV per atom

a = 10.5529 Å, b = 10.5529 Å, c = 6.7663 Å
α = 107.95°, β = 107.95°, γ = 82.87°
Closest atoms and distances in Å follow each position.
Fractional positions:
K 0.0677 0.9323 0.7500  6 S 3.11-3.38
K 0.2130 0.7870 0.2500  6 S 3.14-3.37
K 0.3086 0.4876 0.4306  3 S 2.99-3.28
K 0.4876 0.3086 0.9306  3 S 2.99-3.28
K 0.5124 0.6914 0.0694  3 S 2.99-3.28
K 0.6914 0.5124 0.5694  3 S 2.99-3.28
K 0.7870 0.2130 0.7500  6 S 3.14-3.37
K 0.9323 0.0677 0.2500  6 S 3.11-3.38
Zn 0.0358 0.5794 0.7382  4 S 2.36-2.45
Zn 0.1481 0.3007 0.8018  4 S 2.37-2.48
Zn 0.3007 0.1481 0.3018  4 S 2.37-2.48
Zn 0.4206 0.9642 0.7618  4 S 2.36-2.45
Zn 0.5794 0.0358 0.2382  4 S 2.36-2.45
Zn 0.6993 0.8519 0.6982  4 S 2.37-2.48
Zn 0.8519 0.6993 0.1982  4 S 2.37-2.48
Zn 0.9642 0.4206 0.2618  4 S 2.36-2.45
S 0.0528 0.6441 0.4372  3 Zn 2.37-2.45
S 0.0984 0.2451 0.0891  3 Zn 2.41-2.48
S 0.2451 0.0984 0.5891  3 Zn 2.41-2.48
S 0.2501 0.5095 0.9181  2 Zn 2.36-2.37
S 0.3559 0.9472 0.0628  3 Zn 2.37-2.45
S 0.4905 0.7499 0.5819  2 Zn 2.36-2.37
S 0.5095 0.2501 0.4181  2 Zn 2.36-2.37
S 0.6441 0.0528 0.9372  3 Zn 2.37-2.45
S 0.7499 0.4905 0.0819  2 Zn 2.36-2.37
S 0.7549 0.9016 0.4109  3 Zn 2.41-2.48
S 0.9016 0.7549 0.9109  3 Zn 2.41-2.48
S 0.9472 0.3559 0.5628  3 Zn 2.37-2.45

=====

VASP calculation (PBE) on a relaxed Ca4MnAs crystal.

- Energy of formation from the pure elements: 0.55 eV per atom

a = 6.4928 Å, b = 6.4928 Å, c = 6.4928 Å
α = 60.00°, β = 60.00°, γ = 60.00°
Closest atoms and distances in Å follow each position.
Fractional positions:
Ca 0.1251 0.1251 0.1251  6 Ca 3.24-3.25
Ca 0.1251 0.1251 0.6248  6 Ca 3.24-3.25
Ca 0.1251 0.6248 0.1251  6 Ca 3.24-3.25
Ca 0.6248 0.1251 0.1251  6 Ca 3.24-3.25
Mn 0.7500 0.7500 0.7500  12 Ca 3.81, 4 As 3.98
As 0.5000 0.5000 0.5000  12 Ca 3.81, 4 Mn 3.98